1.
Density functional theory data (PBE) for a relaxed structure of Ce2Th2Ge4Os.

POSCAR file:
```
Ce2Th2Ge4Os
1.0
0.361 -4.357 -4.855
5.449 3.568 0.519
-0.606 -2.864 5.841
Os Ge Th Ce
1 4 2 2
Cartesian
0.000 0.000 0.000
3.844 -1.696 2.324
3.969 1.996 1.819
1.360 -1.958 -0.819
0.874 -1.292 4.540
1.088 -3.435 2.083
4.116 -0.219 -0.578
1.548 0.225 2.033
3.294 0.479 4.327
```

Volume (Å³ per atom): 23.71
Space group: I4/mmm, No. 139
Energy of formation (eV/atom): -0.37
Magnetic moment (Bohr magnetons per cell): 1.66
Uncorrected energy (eV for the cell shown): -59.76

---

2.
Density functional theory data (PBE) for a relaxed structure of CeThGeOs.

POSCAR file:
```
CeThGeOs
1.0
-3.891 -1.182 -0.669
0.351 -2.879 3.043
0.201 4.254 4.003
Ce Ge Th Os
1 1 1 1
Cartesian
-0.494 1.038 1.040
-2.037 -1.469 1.749
-3.038 0.633 3.854
-1.458 3.063 3.067
```

Volume (Å³ per atom): 23.69
Space group: Amm2, No. 38
Energy of formation (eV/atom): -0.52
Magnetic moment (Bohr magnetons per cell): 0.23
Uncorrected energy (eV for the cell shown): -31.29

---

3.
Density functional theory data (PBE) for a relaxed structure of Ce2ThGe2Os.

POSCAR file:
```
Ce2ThGe2Os
1.0
4.082 0.000 0.000
0.000 4.082 0.000
-2.041 -2.041 10.391
Ce Th Os Ge
2 1 1 2
Cartesian
0.000 2.041 5.195
2.041 0.000 5.195
2.041 2.041 0.000
0.000 0.000 0.000
2.041 2.041 3.027
0.000 0.000 7.363
```

Volume (Å³ per atom): 28.86
Space group: I4/mmm, No. 139
Energy of formation (eV/atom): 0.60
Magnetic moment (Bohr magnetons per cell): 1.18
Uncorrected energy (eV for the cell shown): -36.18

---

4.
Density functional theory data (PBE) for a relaxed structure of Ce2ZnGeOs.

POSCAR file:
```
Ce2ZnGeOs
1.0
-3.101 0.148 2.885
4.378 -3.171 4.870
0.996 7.474 0.689
Ce Os Zn Ge
4 2 2 2
Cartesian
1.508 6.203 2.860
2.098 2.128 6.817
0.176 2.323 1.626
0.766 -1.753 5.583
4.113 4.000 5.774
-1.840 0.451 2.669
2.403 0.580 4.111
-0.130 3.870 4.332
-0.138 1.028 4.469
2.411 3.422 3.974
```

Volume (Å³ per atom): 22.34
Space group: P2_1/m, No. 11
Energy of formation (eV/atom): -0.32
Magnetic moment (Bohr magnetons per cell): 1.80
Uncorrected energy (eV for the cell shown): -61.18

---

5.
Density functional theory data (PBE) for a relaxed structure of Ce2Zn2Ge4Os.

POSCAR file:
```
Ce2Zn2Ge4Os
1.0
-4.435 -4.279 0.956
2.723 0.440 -5.593
5.576 -0.661 2.712
Ge Zn Ce Os
4 2 2 1
Cartesian
3.523 0.131 -3.262
4.775 -0.352 0.382
-0.160 -2.463 -0.272
4.024 -2.037 -1.653
5.896 -0.157 -2.046
2.402 -0.064 -0.834
2.645 -2.525 1.114
1.219 -1.975 -3.038
0.000 0.000 0.000
```

Volume (Å³ per atom): 19.12
Space group: I4/mmm, No. 139
Energy of formation (eV/atom): -0.42
Magnetic moment (Bohr magnetons per cell): 0.99
Uncorrected energy (eV for the cell shown): -47.86

---

6.
Density functional theory data (PBE) for a relaxed structure of CeGeP.

POSCAR file:
```
CeGeP
1.0
-2.806 -0.715 2.919
2.934 0.214 2.873
-0.697 4.181 -2.542
Ge Ce P
1 1 1
Cartesian
-0.540 3.492 3.233
-0.086 0.677 2.980
-0.324 2.012 0.181
```

Volume (Å³ per atom): 22.53
Space group: I4mm, No. 107
Energy of formation (eV/atom): -0.62
Magnetic moment (Bohr magnetons per cell): 0.18
Uncorrected energy (eV for the cell shown): -17.82
Energy relative to the lowest polymorph listed for this composition (meV/atom): 229.1

---

7.
Density functional theory data (PBE) for a relaxed structure of Ce4Ge2P.

POSCAR file:
```
Ce4Ge2P
1.0
-0.604 4.195 -0.783
-7.477 -1.049 0.153
-0.067 2.193 11.797
Ge P Ce
4 2 8
Cartesian
-4.826 2.150 3.379
-1.079 2.403 1.843
-3.322 3.190 7.786
-7.069 2.937 9.323
-3.739 -0.524 0.076
-0.033 1.097 5.898
-2.285 3.904 10.811
-0.997 1.438 8.467
-5.997 2.518 6.255
-4.740 1.062 9.343
-5.863 1.436 0.355
-2.803 0.083 2.606
-6.546 -0.293 3.482
-2.151 2.822 4.911
```

Volume (Å³ per atom): 27.90
Space group: Pbam, No. 55
Energy of formation (eV/atom): -0.72
Magnetic moment (Bohr magnetons per cell): 6.69
Uncorrected energy (eV for the cell shown): -86.91

---

8.
Density functional theory data (PBE) for a relaxed structure of Ce3Ge2P.

POSCAR file:
```
Ce3Ge2P
1.0
3.854 0.000 -1.608
-1.147 5.117 -2.749
0.740 0.606 7.195
Ce Ge P
3 2 1
Cartesian
2.776 4.707 1.229
1.354 2.558 -2.179
0.672 1.015 1.609
0.132 3.624 0.315
3.316 2.099 2.523
1.927 0.000 -0.804
```

Volume (Å³ per atom): 25.92
Space group: Immm, No. 71
Energy of formation (eV/atom): -0.93
Magnetic moment (Bohr magnetons per cell): 0.83
Uncorrected energy (eV for the cell shown): -38.01

---

9.
Density functional theory data (PBE) for a relaxed structure of Ce2Ge2P5.

POSCAR file:
```
Ce2Ge2P5
1.0
7.912 0.000 0.000
0.000 5.675 0.000
-3.956 -2.837 8.609
Ce P Ge
4 10 4
Cartesian
0.451 2.663 1.765
3.505 -0.175 6.844
0.451 2.663 6.844
3.505 -0.175 1.765
3.243 2.656 6.093
4.888 -0.139 4.305
5.912 1.263 0.496
-1.957 -1.574 8.113
3.243 2.656 2.516
-1.999 1.263 8.113
0.713 -0.182 2.516
5.955 4.100 0.496
-0.932 2.699 4.305
0.713 -0.182 6.093
3.956 2.705 0.000
0.000 5.543 0.000
4.688 3.202 4.305
-0.732 0.364 4.305
```

Volume (Å³ per atom): 21.47
Space group: Ima2, No. 46
Energy of formation (eV/atom): -0.50
Magnetic moment (Bohr magnetons per cell): 1.73
Uncorrected energy (eV for the cell shown): -105.31

---

10.
Density functional theory data (PBE) for a relaxed structure of CeGeP.

POSCAR file:
```
CeGeP
1.0
-3.091 -0.652 -2.646
-2.513 -0.964 3.172
-6.193 6.198 2.432
Ce Ge P
2 2 2
Cartesian
-2.639 -0.842 1.974
-6.395 1.472 2.431
-6.707 3.497 0.070
-9.099 3.642 0.947
-3.518 1.861 2.100
-3.003 -0.268 -0.868
```

Volume (Å³ per atom): 22.31
Space group: P2_1/m, No. 11
Energy of formation (eV/atom): -0.85
Magnetic moment (Bohr magnetons per cell): 1.61
Uncorrected energy (eV for the cell shown): -37.01
Energy relative to the lowest polymorph listed for this composition (meV/atom): 0.0

---

11.
Density functional theory data (PBE) for a relaxed structure of CeGeP2.

POSCAR file:
```
CeGeP2
1.0
3.788 0.000 0.000
0.000 4.429 0.000
0.000 0.000 4.429
Ge P Ce
1 2 1
Cartesian
1.894 2.214 2.214
0.000 2.214 0.000
0.000 0.000 2.214
1.894 0.000 0.000
```

Volume (Å³ per atom): 18.57
Space group: P4/mmm, No. 123
Energy of formation (eV/atom): -0.63
Magnetic moment (Bohr magnetons per cell): 0.00
Uncorrected energy (eV for the cell shown): -23.89
Energy relative to the lowest polymorph listed for this composition (meV/atom): 0.0

---

12.
Density functional theory data (PBE) for a relaxed structure of Ce3Ge2P.

POSCAR file:
```
Ce3Ge2P
1.0
-2.346 1.067 -6.764
2.529 -6.763 -0.652
-6.161 1.219 3.622
Ce P Ge
6 2 4
Cartesian
-1.418 -1.546 -2.956
-4.337 -3.679 -4.906
-4.254 1.143 -1.571
-1.641 -0.797 1.113
-4.560 -2.931 -0.838
1.265 -3.381 -0.326
-1.667 -3.180 -0.567
-4.310 -1.297 -3.226
-1.387 -3.981 -4.664
-7.198 1.356 -1.806
1.220 -5.832 -1.987
-4.590 -0.496 0.870
```

Volume (Å³ per atom): 25.92
Space group: C2/c, No. 15
Energy of formation (eV/atom): -0.93
Magnetic moment (Bohr magnetons per cell): 1.65
Uncorrected energy (eV for the cell shown): -76.02